1.
# BaSNO2

A crystal of BaSNO2 relaxed with PBEsol (meta-GGA SCAN, Alexandria via LeMat-Bulk).

Lattice parameters (Å, degrees): 3.6033 4.1162 4.1162 90.00 90.00 90.00
Last column: nearest neighbours and their distance in Å.
Fractional positions:
Ba  0.5000  0.5000  0.5000  8 O 2.74, 4 N 2.91
N  0.5000  0.0000  0.0000  2 S 1.80
O  0.0000  0.5000  0.0000  2 S 2.06
O  0.0000  0.0000  0.5000  2 S 2.06
S  0.0000  0.0000  0.0000  2 N 1.80

## Properties
ΔE_f (raw) (eV per atom): -0.588
Volume (Å³/atom): 12.21
Space-group type: P4/mmm


2.
# Y2TlCr

A crystal of Y2TlCr relaxed with PBEsol (meta-GGA SCAN, Alexandria via LeMat-Bulk).

Lattice parameters (Å, degrees): 5.1649 5.1649 5.1649 60.00 60.00 60.00
Last column: nearest neighbours and their distance in Å.
Fractional positions:
Y  0.7500  0.7500  0.7500  4 Tl 3.16, 4 Cr 3.16
Y  0.2500  0.2500  0.2500  4 Cr 3.16, 4 Tl 3.16
Tl  0.5000  0.5000  0.5000  8 Y 3.16
Cr  0.0000  0.0000  0.0000  8 Y 3.16

## Properties
Energy of formation (eV per atom): -0.28
Volume (Å³/atom): 24.36
Space-group type: Fm-3m


3.
# FeNiMo2

A crystal of FeNiMo2 relaxed with PBEsol (meta-GGA SCAN, Alexandria via LeMat-Bulk).

Lattice parameters (Å, degrees): 2.5882 2.5882 7.9901 90.00 90.00 102.56
Last column: nearest neighbours and their distance in Å.
Fractional positions:
Ni  0.0000  0.0000  0.4873  2 Fe 2.39, 2 Mo 2.53, 4 Ni 2.59
Mo  0.5000  0.5000  0.7304  4 Ni 2.53-2.80, 6 Mo 2.59-2.79
Mo  0.0000  0.0000  0.0151  4 Fe 2.58-2.85, 6 Mo 2.59-2.79
Fe  0.5000  0.5000  0.2672  2 Ni 2.39, 2 Mo 2.58, 4 Fe 2.59

## Properties
Energy of formation (eV per atom): 0.07
Volume (Å³/atom): 13.06
Space-group type: Cmm2


4.
# Co2SbSe

A crystal of Co2SbSe relaxed with PBEsol (meta-GGA SCAN, Alexandria via LeMat-Bulk).

Lattice parameters (Å, degrees): 3.3362 3.7090 5.8943 106.62 90.00 116.73
Last column: nearest neighbours and their distance in Å.
Fractional positions:
Co  0.2550  0.5100  0.3208  3 Se 2.26-2.33
Co  0.7450  0.4900  0.6792  3 Se 2.26-2.33
Se  0.0000  0.0000  0.5000  6 Co 2.26-2.33
Sb  0.5000  0.0000  0.0000  6 Co 2.68-2.86

## Properties
ΔE_f (raw) (eV per atom): 0.301
Volume (Å³/atom): 15.43
Space-group type: C2/m


5.
# ZrNi2Se

A crystal of ZrNi2Se relaxed with PBEsol (meta-GGA SCAN, Alexandria via LeMat-Bulk).

Lattice parameters (Å, degrees): 3.7504 3.7504 4.8804 112.60 112.60 90.00
Last column: nearest neighbours and their distance in Å.
Fractional positions:
Se  0.5000  0.5000  0.0000  4 Zr 2.65, 8 Ni 2.78
Ni  0.7500  0.2500  0.5000  4 Ni 2.65, 4 Se 2.78, 4 Zr 2.78
Ni  0.2500  0.7500  0.5000  4 Ni 2.65, 4 Se 2.78, 4 Zr 2.78
Zr  0.0000  0.0000  0.0000  4 Se 2.65, 8 Ni 2.78

## Properties
ΔE_f (raw) (eV per atom): -0.280
Volume (Å³/atom): 14.41
Space-group type: I4/mmm


6.
# Na2BiSbH

A crystal of Na2BiSbH relaxed with PBEsol (meta-GGA SCAN, Alexandria via LeMat-Bulk).

Lattice parameters (Å, degrees): 4.7339 4.7339 4.8493 90.00 90.00 90.00
Last column: nearest neighbours and their distance in Å.
Fractional positions:
Na  0.5000  0.0000  0.0000  2 H 2.37
Na  0.0000  0.5000  0.0000  2 H 2.37
Bi  0.0000  0.0000  0.5000  2 H 2.42
Sb  0.5000  0.5000  0.5000  4 Bi 3.35, 8 Na 3.39
H  0.0000  0.0000  0.0000  4 Na 2.37, 2 Bi 2.42

## Properties
Volume (Å³/atom): 21.73
E_tot (eV/atom): -25.747
Space-group type: P4/mmm


7.
# SrUO4

A crystal of SrUO4 relaxed with PBEsol (meta-GGA SCAN, Alexandria via LeMat-Bulk).

Lattice parameters (Å, degrees): 5.5108 7.9098 8.0833 90.00 90.00 90.00
Last column: nearest neighbours and their distance in Å.
Fractional positions:
O  0.3047  0.9186  0.4200  1 U 1.91
O  0.8299  0.7500  0.5000  2 U 2.19
O  0.8661  0.0339  0.2500  2 U 2.17
O  0.1701  0.2500  0.0000  2 U 2.19
O  0.8299  0.7500  0.0000  2 U 2.19
O  0.6953  0.0814  0.9200  1 U 1.91
O  0.3047  0.9186  0.0800  1 U 1.91
O  0.1339  0.9661  0.7500  2 U 2.17
O  0.8661  0.4661  0.7500  2 U 2.17
O  0.1339  0.5339  0.2500  2 U 2.17
O  0.6953  0.0814  0.5800  1 U 1.91
O  0.3047  0.5814  0.5800  1 U 1.91
O  0.1701  0.2500  0.5000  2 U 2.19
O  0.6953  0.4186  0.4200  1 U 1.91
O  0.3047  0.5814  0.9200  1 U 1.91
O  0.6953  0.4186  0.0800  1 U 1.91
Sr  0.5208  0.6960  0.2500  7 O 2.49-2.76
Sr  0.5208  0.8040  0.7500  7 O 2.49-2.76
Sr  0.4792  0.3040  0.7500  7 O 2.49-2.76
Sr  0.4792  0.1960  0.2500  7 O 2.49-2.76
U  0.0000  0.0000  0.0000  2 O 1.91
U  0.0000  0.5000  0.0000  2 O 1.91
U  0.0000  0.0000  0.5000  2 O 1.91
U  0.0000  0.5000  0.5000  2 O 1.91

## Properties
ΔE_f (raw) (eV per atom): -3.439
Volume (Å³/atom): 14.68
Space-group type: Pbcm


8.
# Ba2Cu2Os

A crystal of Ba2Cu2Os relaxed with PBEsol (meta-GGA SCAN, Alexandria via LeMat-Bulk).

Lattice parameters (Å, degrees): 3.4645 3.4645 9.9568 100.02 100.02 90.00
Last column: nearest neighbours and their distance in Å.
Fractional positions:
Cu  0.2500  0.7500  0.5000  4 Cu 2.45
Cu  0.7500  0.2500  0.5000  4 Cu 2.45
Os  0.0000  0.0000  0.0000  8 Ba 3.14, 4 Os 3.46
Ba  0.6017  0.6017  0.2034  4 Os 3.14, 4 Cu 3.35, 4 Ba 3.46
Ba  0.3983  0.3983  0.7966  4 Os 3.14, 4 Cu 3.35, 4 Ba 3.46

## Properties
Energy of formation (eV per atom): 0.61
Volume (Å³/atom): 23.17
Space-group type: I4/mmm